[1]
Material: CuP2Cl
Method: DFT, PBE
State: relaxed

Spin magnetization = 0.000 μB/atom
Calculated density = 4.2 Mg/m³
E above lowest polymorph = 0.5248 eV per atom

The structure in CIF format:
```
data_CuP2Cl
_symmetry_space_group_name_H-M 'P 1'
_symmetry_Int_Tables_number 1
_symmetry_space_group_name_Hall 'P 1'
_cell_length_a 4.357
_cell_length_b 4.359
_cell_length_c 4.359
_cell_angle_alpha 68.60
_cell_angle_beta 74.31
_cell_angle_gamma 111.38
loop_
_atom_site_label
_atom_site_type_symbol
_atom_site_fract_x
_atom_site_fract_y
_atom_site_fract_z
P1 P 0.000 0.000 0.000
P2 P 0.500 0.000 0.500
Cu1 Cu 0.500 0.500 0.000
Cl1 Cl 0.000 0.500 0.500
```

=====

[2]
Material: CuP2Cl
Method: DFT, PBE
State: relaxed

Spin magnetization = 0.000 μB/atom
Calculated density = 3.1 Mg/m³
E above lowest polymorph = 0.7473 eV per atom

The structure in CIF format:
```
data_CuP2Cl
_symmetry_space_group_name_H-M 'P 1'
_symmetry_Int_Tables_number 1
_symmetry_space_group_name_Hall 'P 1'
_cell_length_a 5.598
_cell_length_b 5.598
_cell_length_c 6.825
_cell_angle_alpha 65.79
_cell_angle_beta 65.79
_cell_angle_gamma 90.00
loop_
_atom_site_label
_atom_site_type_symbol
_atom_site_fract_x
_atom_site_fract_y
_atom_site_fract_z
P1 P 0.048 0.625 0.250
P2 P 0.702 0.125 0.250
P3 P 0.875 0.952 0.750
P4 P 0.375 0.298 0.750
Cu1 Cu 0.750 0.250 0.500
Cu2 Cu 0.000 0.000 0.000
Cl1 Cl 0.500 0.500 0.000
Cl2 Cl 0.250 0.750 0.500
```

=====

[3]
Material: CuP2Cl
Method: DFT, PBE
State: relaxed

Spin magnetization = 0.000 μB/atom
Calculated density = 4.3 Mg/m³
E above lowest polymorph = 1.0193 eV per atom

The structure in CIF format:
```
data_CuP2Cl
_symmetry_space_group_name_H-M 'P 1'
_symmetry_Int_Tables_number 1
_symmetry_space_group_name_Hall 'P 1'
_cell_length_a 4.440
_cell_length_b 4.440
_cell_length_c 4.440
_cell_angle_alpha 60.00
_cell_angle_beta 60.00
_cell_angle_gamma 60.00
loop_
_atom_site_label
_atom_site_type_symbol
_atom_site_fract_x
_atom_site_fract_y
_atom_site_fract_z
Cu1 Cu 0.500 0.500 0.500
P1 P 0.750 0.750 0.750
P2 P 0.250 0.250 0.250
Cl1 Cl 0.000 0.000 0.000
```

=====

[4]
Material: CuPCl
Method: DFT, PBE
State: relaxed

Spin magnetization = 0.000 μB/atom
Calculated density = 3.6 Mg/m³
E above lowest polymorph = 0.0000 eV per atom

The structure in CIF format:
```
data_CuPCl
_symmetry_space_group_name_H-M 'P 1'
_symmetry_Int_Tables_number 1
_symmetry_space_group_name_Hall 'P 1'
_cell_length_a 3.500
_cell_length_b 3.499
_cell_length_c 11.522
_cell_angle_alpha 81.37
_cell_angle_beta 81.32
_cell_angle_gamma 60.03
loop_
_atom_site_label
_atom_site_type_symbol
_atom_site_fract_x
_atom_site_fract_y
_atom_site_fract_z
Cl1 Cl 0.386 0.388 0.844
Cl2 Cl 0.614 0.612 0.156
Cu1 Cu 0.754 0.755 0.742
Cu2 Cu 0.246 0.245 0.258
P1 P 0.184 0.184 0.448
P2 P 0.816 0.816 0.552
```

=====

[5]
Material: CuP2Cl8
Method: DFT, PBE
State: relaxed

Total DFT energy (no corrections) = -35.79 eV for the cell shown
Spin magnetization = 0.096 μB/atom
Calculated density = 1.6 Mg/m³

The structure in CIF format:
```
data_CuP2Cl8
_symmetry_space_group_name_H-M 'P 1'
_symmetry_Int_Tables_number 1
_symmetry_space_group_name_Hall 'P 1'
_cell_length_a 8.782
_cell_length_b 7.385
_cell_length_c 7.385
_cell_angle_alpha 92.08
_cell_angle_beta 72.02
_cell_angle_gamma 72.02
loop_
_atom_site_label
_atom_site_type_symbol
_atom_site_fract_x
_atom_site_fract_y
_atom_site_fract_z
P1 P 0.364 0.209 0.209
P2 P 0.636 0.791 0.791
Cl1 Cl 0.775 0.657 0.959
Cl2 Cl 0.225 0.343 0.041
Cl3 Cl 0.775 0.959 0.657
Cl4 Cl 0.295 0.428 0.428
Cl5 Cl 0.224 0.810 0.810
Cl6 Cl 0.776 0.190 0.190
Cl7 Cl 0.705 0.572 0.572
Cl8 Cl 0.225 0.041 0.343
Cu1 Cu 0.000 0.000 0.000
```

=====

[6]
Material: CuP2Cl
Method: DFT, PBE
State: relaxed

Spin magnetization = 0.000 μB/atom
Calculated density = 3.2 Mg/m³
E above lowest polymorph = 0.3784 eV per atom

The structure in CIF format:
```
data_CuP2Cl
_symmetry_space_group_name_H-M 'P 1'
_symmetry_Int_Tables_number 1
_symmetry_space_group_name_Hall 'P 1'
_cell_length_a 3.312
_cell_length_b 3.312
_cell_length_c 7.664
_cell_angle_alpha 90.00
_cell_angle_beta 90.00
_cell_angle_gamma 90.00
loop_
_atom_site_label
_atom_site_type_symbol
_atom_site_fract_x
_atom_site_fract_y
_atom_site_fract_z
Cu1 Cu 0.000 0.000 0.500
P1 P 0.000 0.500 0.000
P2 P 0.500 0.000 0.000
Cl1 Cl 0.500 0.500 0.500
```

=====

[7]
Material: CuP2Cl
Method: DFT, PBE
State: relaxed

Spin magnetization = 0.000 μB/atom
Calculated density = 2.9 Mg/m³
E above lowest polymorph = 0.5992 eV per atom

The structure in CIF format:
```
data_CuP2Cl
_symmetry_space_group_name_H-M 'P 1'
_symmetry_Int_Tables_number 1
_symmetry_space_group_name_Hall 'P 1'
_cell_length_a 6.907
_cell_length_b 6.907
_cell_length_c 6.907
_cell_angle_alpha 160.66
_cell_angle_beta 121.06
_cell_angle_gamma 62.65
loop_
_atom_site_label
_atom_site_type_symbol
_atom_site_fract_x
_atom_site_fract_y
_atom_site_fract_z
P1 P 0.077 0.077 0.000
P2 P 0.423 0.423 0.000
Cl1 Cl 0.750 0.250 0.500
Cu1 Cu 0.250 0.750 0.500
```

=====

[8]
Material: CuP2Cl
Method: DFT, PBE
State: relaxed

Spin magnetization = 0.000 μB/atom
Calculated density = 4.3 Mg/m³
E above lowest polymorph = 0.7699 eV per atom

The structure in CIF format:
```
data_CuP2Cl
_symmetry_space_group_name_H-M 'P 1'
_symmetry_Int_Tables_number 1
_symmetry_space_group_name_Hall 'P 1'
_cell_length_a 2.823
_cell_length_b 4.978
_cell_length_c 4.399
_cell_angle_alpha 90.00
_cell_angle_beta 90.00
_cell_angle_gamma 90.00
loop_
_atom_site_label
_atom_site_type_symbol
_atom_site_fract_x
_atom_site_fract_y
_atom_site_fract_z
Cu1 Cu 0.000 0.500 0.500
P1 P 0.500 0.500 0.000
P2 P 0.000 0.000 0.000
Cl1 Cl 0.500 0.000 0.500
```

=====

[9]
Material: CuPCl
Method: DFT, PBE
State: relaxed

Spin magnetization = 0.000 μB/atom
Calculated density = 3.6 Mg/m³
E above lowest polymorph = 0.4786 eV per atom

The structure in CIF format:
```
data_CuPCl
_symmetry_space_group_name_H-M 'P 1'
_symmetry_Int_Tables_number 1
_symmetry_space_group_name_Hall 'P 1'
_cell_length_a 3.232
_cell_length_b 3.232
_cell_length_c 6.675
_cell_angle_alpha 90.00
_cell_angle_beta 90.00
_cell_angle_gamma 120.00
loop_
_atom_site_label
_atom_site_type_symbol
_atom_site_fract_x
_atom_site_fract_y
_atom_site_fract_z
Cu1 Cu 0.667 0.333 0.333
P1 P 0.333 0.667 0.558
Cl1 Cl 0.000 0.000 0.109
```

=====

[10]
Material: CuP2Cl
Method: DFT, PBE
State: relaxed

Spin magnetization = 0.000 μB/atom
Calculated density = 3.4 Mg/m³
E above lowest polymorph = 0.1196 eV per atom

The structure in CIF format:
```
data_CuP2Cl
_symmetry_space_group_name_H-M 'P 1'
_symmetry_Int_Tables_number 1
_symmetry_space_group_name_Hall 'P 1'
_cell_length_a 6.196
_cell_length_b 6.196
_cell_length_c 3.967
_cell_angle_alpha 89.87
_cell_angle_beta 89.87
_cell_angle_gamma 31.10
loop_
_atom_site_label
_atom_site_type_symbol
_atom_site_fract_x
_atom_site_fract_y
_atom_site_fract_z
P1 P 0.055 0.055 0.251
P2 P 0.445 0.445 0.249
Cl1 Cl 0.750 0.750 0.750
Cu1 Cu 0.250 0.250 0.250
```

=====

[11]
Material: CuP2Cl
Method: DFT, PBE
State: relaxed

Spin magnetization = 0.000 μB/atom
Calculated density = 3.2 Mg/m³
E above lowest polymorph = 0.3684 eV per atom

The structure in CIF format:
```
data_CuP2Cl
_symmetry_space_group_name_H-M 'P 1'
_symmetry_Int_Tables_number 1
_symmetry_space_group_name_Hall 'P 1'
_cell_length_a 8.011
_cell_length_b 8.011
_cell_length_c 8.011
_cell_angle_alpha 156.14
_cell_angle_beta 156.14
_cell_angle_gamma 33.99
loop_
_atom_site_label
_atom_site_type_symbol
_atom_site_fract_x
_atom_site_fract_y
_atom_site_fract_z
P1 P 0.000 0.000 0.000
P2 P 0.500 0.500 0.000
Cl1 Cl 0.250 0.750 0.500
Cu1 Cu 0.750 0.250 0.500
```

=====

[12]
Material: CuPCl
Method: DFT, PBE
State: relaxed

Spin magnetization = 0.000 μB/atom
Calculated density = 3.2 Mg/m³
E above lowest polymorph = 0.5043 eV per atom

The structure in CIF format:
```
data_CuPCl
_symmetry_space_group_name_H-M 'P 1'
_symmetry_Int_Tables_number 1
_symmetry_space_group_name_Hall 'P 1'
_cell_length_a 7.741
_cell_length_b 7.304
_cell_length_c 3.396
_cell_angle_alpha 84.28
_cell_angle_beta 69.84
_cell_angle_gamma 25.88
loop_
_atom_site_label
_atom_site_type_symbol
_atom_site_fract_x
_atom_site_fract_y
_atom_site_fract_z
Cu1 Cu 0.334 0.334 0.666
Cl1 Cl 0.946 0.946 0.054
P1 P 0.720 0.720 0.280
```

=====

calculated density of number 11 (CuP2Cl)?
3.2 Mg/m³

=====

Look up the calculated density of the eleventh one.
3.2 Mg/m³